[1]
Computed, not measured: a relaxed MnSb3W crystal at the GGA-PBEsol level of DFT. Values from VASP.

Geometry as Quantum ESPRESSO input:
```
&SYSTEM
  ibrav = 0, nat = 5, ntyp = 3
/
ATOMIC_SPECIES
Sb 121.76 Sb.upf
Mn 54.94 Mn.upf
W 183.84 W.upf
ATOMIC_POSITIONS crystal
Sb 0.0000 0.5000 0.0000
Sb 0.0000 0.0000 0.5000
Sb 0.5000 0.0000 0.0000
Mn 0.5000 0.5000 0.5000
W 0.0000 0.0000 0.0000
CELL_PARAMETERS angstrom
-3.9066 -2.7620 2.0219
-1.7106 -1.0820 -4.7834
2.9648 -4.2636 -0.0958
```

Results
Total moment = 0.929 μB/atom
Mass density = 7.2 g/cm3
Uncorrected energy = -6.3734 eV/atom
SG = Pm-3m

=====

[2]
Computed, not measured: a relaxed MnSbW2 crystal at the GGA-PBEsol level of DFT. Values from VASP.

Geometry as Quantum ESPRESSO input:
```
&SYSTEM
  ibrav = 0, nat = 4, ntyp = 3
/
ATOMIC_SPECIES
Mn 54.94 Mn.upf
Sb 121.76 Sb.upf
W 183.84 W.upf
ATOMIC_POSITIONS crystal
Mn 0.5000 0.5000 0.5000
Sb 0.5000 0.5000 0.0000
W 0.0000 0.0000 0.2852
W 0.0000 0.0000 0.7148
CELL_PARAMETERS angstrom
2.9418 0.0502 0.0000
-0.0530 2.9417 0.0000
0.0000 0.0000 7.1750
```

Results
Total moment = 0.000 μB/atom
Mass density = 14.6 g/cm3
Uncorrected energy = -9.9762 eV/atom
SG = P4/mmm

=====

[3]
Computed, not measured: a relaxed Mn2SbW crystal at the GGA-PBEsol level of DFT. Values from VASP.

Geometry as Quantum ESPRESSO input:
```
&SYSTEM
  ibrav = 0, nat = 4, ntyp = 3
/
ATOMIC_SPECIES
Mn 54.94 Mn.upf
Sb 121.76 Sb.upf
W 183.84 W.upf
ATOMIC_POSITIONS crystal
Mn 0.0000 0.5000 0.0000
Mn 0.0000 0.0000 0.5000
Sb 0.5000 0.0000 0.0000
W 0.5000 0.5000 0.5000
CELL_PARAMETERS angstrom
3.1199 0.0000 0.0000
0.0000 4.1556 0.5948
0.0000 -0.5952 4.1555
```

Results
Total moment = 0.099 μB/atom
Mass density = 12.5 g/cm3
Uncorrected energy = -9.1804 eV/atom
SG = P4/mmm

=====

[4]
Computed, not measured: a relaxed MnZn2SbW crystal at the GGA-PBEsol level of DFT. Values from VASP.

Geometry as Quantum ESPRESSO input:
```
&SYSTEM
  ibrav = 0, nat = 5, ntyp = 4
/
ATOMIC_SPECIES
Sb 121.76 Sb.upf
Zn 65.41 Zn.upf
Mn 54.94 Mn.upf
W 183.84 W.upf
ATOMIC_POSITIONS crystal
Sb 0.5000 0.5000 0.5000
Zn 0.0000 0.0000 0.5000
Zn 0.0000 0.5000 0.0000
Mn 0.0000 0.0000 0.0000
W 0.5000 0.0000 0.0000
CELL_PARAMETERS angstrom
-2.4312 2.9353 2.2267
-3.3776 -3.0968 0.3945
1.8245 -1.4865 3.9516
```

Results
Total moment = 0.133 μB/atom
Mass density = 8.7 g/cm3
Uncorrected energy = -5.2509 eV/atom
SG = P4/mmm

=====

[5]
Computed, not measured: a relaxed YMn2Sb crystal at the GGA-PBEsol level of DFT. Values from VASP.

Geometry as Quantum ESPRESSO input:
```
&SYSTEM
  ibrav = 0, nat = 4, ntyp = 3
/
ATOMIC_SPECIES
Mn 54.94 Mn.upf
Sb 121.76 Sb.upf
Y 88.91 Y.upf
ATOMIC_POSITIONS crystal
Mn 0.0000 0.0000 0.5000
Mn 0.0000 0.5000 0.0000
Sb 0.5000 0.5000 0.5000
Y 0.5000 0.0000 0.0000
CELL_PARAMETERS angstrom
-2.0397 -3.4084 -0.2588
2.3035 -1.1152 -3.4675
2.8966 -1.9266 2.5439
```

Results
Total moment = 1.552 μB/atom
Mass density = 7.2 g/cm3
Uncorrected energy = -7.6709 eV/atom
SG = P4/mmm

=====

[6]
Computed, not measured: a relaxed YMn2Sb2 crystal at the GGA-PBEsol level of DFT. Values from VASP.

Geometry as Quantum ESPRESSO input:
```
&SYSTEM
  ibrav = 0, nat = 5, ntyp = 3
/
ATOMIC_SPECIES
Y 88.91 Y.upf
Sb 121.76 Sb.upf
Mn 54.94 Mn.upf
ATOMIC_POSITIONS crystal
Y 0.0000 0.0000 0.0000
Sb 0.2500 0.7500 0.5000
Sb 0.7500 0.2500 0.5000
Mn 0.3864 0.3864 0.7729
Mn 0.6136 0.6136 0.2271
CELL_PARAMETERS angstrom
4.6366 0.0000 0.0000
0.0000 4.6366 0.0000
-2.3183 -2.3183 4.3775
```

Results
Total moment = 0.172 μB/atom
Mass density = 7.8 g/cm3
Uncorrected energy = -7.2468 eV/atom
SG = I4/mmm